Entry 1:
UPaFe2 | PBE-GGA | optimized geometry

a b c (Å): 4.726 6.096 10.167
angles (deg): 90.00 103.94 90.00
Sites, in units of the cell vectors:
U 0.188 0.122 0.135
U 0.188 0.878 0.635
U 0.812 0.122 0.365
U 0.812 0.878 0.865
Pa 0.308 0.373 0.864
Pa 0.308 0.627 0.364
Pa 0.692 0.373 0.636
Pa 0.692 0.627 0.136
Fe 0.169 0.371 0.588
Fe 0.169 0.629 0.088
Fe 0.325 0.122 0.403
Fe 0.325 0.878 0.903
Fe 0.675 0.122 0.097
Fe 0.675 0.878 0.597
Fe 0.831 0.371 0.912
Fe 0.831 0.629 0.412

Output
**Relative energy among the computed polymorphs**: 0.0000 eV per atom
**Total DFT energy (no corrections)**: -9.574 eV/atom

***

Entry 2:
Ho3Er3Sc | PBE-GGA | optimized geometry

a b c (Å): 14.136 14.136 14.136
angles (deg): 24.85 24.85 24.85
Sites, in units of the cell vectors:
Ho 0.132 0.463 0.801
Ho 0.199 0.868 0.537
Ho 0.463 0.801 0.132
Ho 0.537 0.199 0.868
Ho 0.801 0.132 0.463
Ho 0.868 0.537 0.199
Er 0.063 0.729 0.398
Er 0.271 0.602 0.937
Er 0.398 0.063 0.729
Er 0.602 0.937 0.271
Er 0.729 0.398 0.063
Er 0.937 0.271 0.602
Sc 0.333 0.333 0.333
Sc 0.667 0.667 0.667

Output
**Relative energy among the computed polymorphs**: 0.1435 eV per atom
**Total DFT energy (no corrections)**: -4.664 eV/atom

***

Entry 3:
Nd2ScTe2S2 | PBE-GGA | optimized geometry

a b c (Å): 4.813 4.813 16.198
angles (deg): 90.00 90.00 90.00
Sites, in units of the cell vectors:
Nd 0.000 0.000 0.119
Nd 0.000 0.000 0.881
Nd 0.500 0.500 0.381
Nd 0.500 0.500 0.619
Sc 0.000 0.000 0.500
Sc 0.500 0.500 0.000
Te 0.000 0.000 0.318
Te 0.000 0.000 0.682
Te 0.500 0.500 0.182
Te 0.500 0.500 0.818
S 0.000 0.500 0.000
S 0.000 0.500 0.500
S 0.500 0.000 0.000
S 0.500 0.000 0.500

Output
**Total DFT energy (no corrections)**: -5.936 eV/atom
**Formation energy (no corrections)**: -1.59 eV per atom

***

Entry 4:
Dy3HoPd2 | PBE-GGA | optimized geometry

a b c (Å): 3.762 9.745 8.504
angles (deg): 90.00 90.00 90.00
Sites, in units of the cell vectors:
Dy 0.000 0.066 0.000
Dy 0.000 0.284 0.340
Dy 0.000 0.716 0.840
Dy 0.000 0.934 0.500
Dy 0.500 0.216 0.680
Dy 0.500 0.784 0.180
Ho 0.500 0.435 0.020
Ho 0.500 0.565 0.520
Pd 0.000 0.428 0.747
Pd 0.000 0.572 0.247
Pd 0.500 0.072 0.273
Pd 0.500 0.928 0.773

Output
**Relative energy among the computed polymorphs**: 0.0000 eV per atom
**Total DFT energy (no corrections)**: -5.392 eV/atom